Model 1:
DFT (GGA-PBEsol) results for an optimized crystal structure of ReSb2W.

Cell lengths 6.190, 6.190, 6.190 Å; angles 150.52, 139.18, 51.15 degrees
Element x y z (fractional)
Re 0.000 0.000 0.000
Sb 0.206 0.706 0.500
Sb 0.463 0.463 0.000
W 0.795 0.295 0.500

- Crystal system: orthorhombic
- Volume: 75.9 Å³/f.u.

***

Model 2:
DFT (GGA-PBEsol) results for an optimized crystal structure of ReSb2W.

Cell lengths 8.751, 8.751, 8.751 Å; angles 20.47, 20.47, 20.47 degrees
Element x y z (fractional)
Re 0.000 0.000 0.000
Sb 0.252 0.252 0.252
Sb 0.748 0.748 0.748
W 0.500 0.500 0.500

- Crystal system: trigonal
- Volume: 71.7 Å³/f.u.

***

Energy comparison, zero being the most stable, in meV per atom: model 1 0; model 2 30.